The following is a PBE calculation of a relaxed Zn2Pd5PtAu2 crystal, from Alexandria via LeMat-Bulk.

Unit cell a=3.920 b=9.097 c=9.097 alpha=90.00 beta=90.00 gamma=90.00
Atoms (fractional coordinates):
Pd  0.500  0.307  0.590
Pd  0.500  0.590  0.693
Pd  0.500  0.000  0.500
Pd  0.500  0.500  0.000
Pd  0.500  0.090  0.807
Pd  0.500  0.807  0.910
Pd  0.500  0.193  0.090
Pd  0.500  0.910  0.193
Pd  0.500  0.693  0.410
Pd  0.500  0.410  0.307
Zn  0.000  0.872  0.372
Zn  0.000  0.372  0.128
Zn  0.000  0.128  0.628
Zn  0.000  0.628  0.872
Pt  0.000  0.500  0.500
Pt  0.000  0.000  0.000
Au  0.000  0.833  0.667
Au  0.000  0.667  0.167
Au  0.000  0.333  0.833
Au  0.000  0.167  0.333

## Properties
density: 12.82 g/cm³
ΔH_f (0 K): -99 meV/atom
energy: -0.3094 Ry per atom